RbSiAgSeS2: optimized geometry, PBE-GGA.

Properties
space-group type: Cmcm
total energy: -3.867 eV per atom

The structure in POSCAR format:
```
RbSiAgSeS2
1.0
-5.864 -4.244 -4.162
5.025 1.779 6.427
-7.289 6.152 3.995
Si S Se Ag Rb
2 4 2 2 2
direct
0.000 0.000 0.000
0.000 0.000 0.500
0.399 0.601 0.982
0.399 0.601 0.518
0.601 0.399 0.482
0.601 0.399 0.018
0.041 0.959 0.750
0.959 0.041 0.250
0.595 0.405 0.250
0.405 0.595 0.750
0.281 0.719 0.250
0.719 0.281 0.750
```